First-principles (PBE-GGA) data for a geometry-optimized Gd2NiBi structure, as listed in Alexandria via LeMat-Bulk.

Properties
Energy relative to the elements   -15 kJ/mol of atoms
V   30.4 Å³/atom
Magnetization   3.618 μB per atom

POSCAR file:
```
Gd2NiBi
1.0
3.8283 0.0000 0.0000
-1.9142 3.3154 0.0000
0.0000 0.0000 28.7832
Gd Ni Bi
6 3 3
Direct
0.0000 0.0000 0.1119
0.0000 0.0000 0.8881
0.3333 0.6667 0.5548
0.3333 0.6667 0.7786
0.6667 0.3333 0.2214
0.6667 0.3333 0.4452
0.0000 0.0000 0.5000
0.3333 0.6667 0.1667
0.6667 0.3333 0.8333
0.0000 0.0000 0.0000
0.3333 0.6667 0.6667
0.6667 0.3333 0.3333
```

=====

First-principles (PBE-GGA) data for a geometry-optimized ReSbI3 structure, as listed in Alexandria via LeMat-Bulk.

Properties
Distance to the lowest polymorph of the same formula   358.6 meV/atom
V   44.3 Å³/atom
Magnetization   1.099 μB per atom
Formation energy from raw total energies   6.13 eV/f.u.

POSCAR file:
```
ReSbI3
1.0
6.0510 0.0000 0.0000
0.0000 6.0510 0.0000
0.0000 0.0000 6.0510
Re Sb I
1 1 3
Direct
0.0000 0.0000 0.0000
0.5000 0.5000 0.5000
0.0000 0.5000 0.5000
0.5000 0.0000 0.5000
0.5000 0.5000 0.0000
```

=====

First-principles (PBE-GGA) data for a geometry-optimized CdFeB2 structure, as listed in Alexandria via LeMat-Bulk.

Properties
Energy relative to the elements   46 kJ/mol of atoms
V   12.3 Å³/atom
Magnetization   0.000 μB per atom

POSCAR file:
```
CdFeB2
1.0
3.7942 0.0000 0.0000
0.0000 3.7942 0.0000
0.0000 0.0000 13.6158
Cd Fe B
4 4 8
Direct
0.0000 0.2500 0.3750
0.0000 0.7500 0.6250
0.5000 0.2500 0.1250
0.5000 0.7500 0.8750
0.0000 0.2500 0.8750
0.0000 0.7500 0.1250
0.5000 0.2500 0.6250
0.5000 0.7500 0.3750
0.0000 0.0000 0.0000
0.0000 0.5000 0.0000
0.2500 0.2500 0.7500
0.2500 0.7500 0.2500
0.5000 0.0000 0.5000
0.5000 0.5000 0.5000
0.7500 0.2500 0.7500
0.7500 0.7500 0.2500
```

=====

First-principles (PBE-GGA) data for a geometry-optimized CsKPdS2 structure, as listed in Alexandria via LeMat-Bulk.

Properties
V   29.8 Å³/atom
Magnetization   0.000 μB per atom
Formation energy from raw total energies   -3.98 eV/f.u.

POSCAR file:
```
CsKPdS2
1.0
5.9736 0.0000 0.0000
0.0000 7.7005 0.0000
0.0000 0.0000 6.4736
Cs K Pd S
2 2 2 4
Direct
0.2500 0.0000 0.2299
0.7500 0.0000 0.7701
0.2500 0.5000 0.4196
0.7500 0.5000 0.5804
0.0000 0.5000 0.0000
0.5000 0.5000 0.0000
0.2500 0.2942 0.8386
0.2500 0.7058 0.8386
0.7500 0.2942 0.1614
0.7500 0.7058 0.1614
```

=====

Which value of V does entry 1 give?
30.4 Å³/atom

=====

What did the first record say?
First-principles (PBE-GGA) data for a geometry-optimized Gd2NiBi structure, as listed in Alexandria via LeMat-Bulk.

Properties
Energy relative to the elements   -15 kJ/mol of atoms
V   30.4 Å³/atom
Magnetization   3.618 μB per atom

POSCAR file:
```
Gd2NiBi
1.0
3.8283 0.0000 0.0000
-1.9142 3.3154 0.0000
0.0000 0.0000 28.7832
Gd Ni Bi
6 3 3
Direct
0.0000 0.0000 0.1119
0.0000 0.0000 0.8881
0.3333 0.6667 0.5548
0.3333 0.6667 0.7786
0.6667 0.3333 0.2214
0.6667 0.3333 0.4452
0.0000 0.0000 0.5000
0.3333 0.6667 0.1667
0.6667 0.3333 0.8333
0.0000 0.0000 0.0000
0.3333 0.6667 0.6667
0.6667 0.3333 0.3333
```

=====

magnetization of number 2 (ReSbI3)?
1.099 μB per atom

=====

What is the formula in the first record?
Gd2NiBi